This record from the Alexandria database describes a relaxed structure of Hg2TePd. The functional is PBE-GGA.

The space group is I-42d (No. 122) and the conventional cell measures 6.3394, 6.3394 and 13.2448 Å, with angles of 90.00, 90.00 and 90.00 degrees. The asymmetric unit holds Hg at (0.2228, 0.2500, 0.1250), Te at (0.0000, 0.0000, 0.5000) and Pd at (0.0000, 0.0000, 0.0000).

The calculation puts the total magnetic moment at 0.0 Bohr magnetons per cell. The calculation puts the calculated total energy at -1.949 eV/atom. Its formation energy without anion corrections is 0.285 eV per atom. The energy above the most stable polymorph in this dataset comes out at 0.063 eV per atom.



This record from the Alexandria database describes a relaxed structure of HgTePd. The functional is PBE-GGA.

The space group is I4mm (No. 107) and the conventional cell measures 3.4995, 3.4995 and 13.5676 Å, with angles of 90.00, 90.00 and 90.00 degrees. The asymmetric unit holds Hg at (0.0000, 0.0000, 0.0000), Te at (0.0000, 0.0000, 0.7219) and Pd at (0.0000, 0.0000, 0.2992).

The calculation puts the total magnetic moment at 0.0 Bohr magnetons per cell. The calculation puts the calculated total energy at -2.917 eV/atom. Its formation energy without anion corrections is -0.038 eV per atom. The energy above the most stable polymorph in this dataset comes out at 0.186 eV per atom.



This record from the Alexandria database describes a relaxed structure of HgTe2Pd2. The functional is PBE-GGA.

The space group is Cc (No. 9) and the conventional cell measures 12.1253, 7.0750 and 6.9333 Å, with angles of 90.00, 124.78 and 90.00 degrees. The asymmetric unit holds Hg at (0.0000, 0.0533, 0.0000), Te at (0.1690, 0.4046, 0.4862), Te at (0.3142, 0.0793, 0.9570), Pd at (0.2386, 0.2630, 0.2083) and Pd at (0.4167, 0.2286, 0.7359).

The calculation puts the total magnetic moment at 0.0 Bohr magnetons per cell. The calculation puts the calculated total energy at -3.645 eV/atom. Its formation energy without anion corrections is -0.251 eV per atom. The energy above the most stable polymorph in this dataset comes out at 0.000 eV per atom.



This record from the Alexandria database describes a relaxed structure of HgTe3Pd. The functional is PBE-GGA.

The space group is Pm-3m (No. 221) and the conventional cell measures 5.3472, 5.3472 and 5.3472 Å, with angles of 90.00, 90.00 and 90.00 degrees. The asymmetric unit holds Hg at (0.0000, 0.0000, 0.0000), Te at (0.0000, 0.5000, 0.5000) and Pd at (0.5000, 0.5000, 0.5000).

The calculation puts the total magnetic moment at 0.0 Bohr magnetons per cell. The calculation puts the calculated total energy at -2.676 eV/atom. Its formation energy without anion corrections is 0.308 eV per atom. The energy above the most stable polymorph in this dataset comes out at 0.372 eV per atom.



This record from the Alexandria database describes a relaxed structure of HgTePd. The functional is PBE-GGA.

The space group is P2_1/c (No. 14) and the conventional cell measures 5.9535, 7.7735 and 7.0234 Å, with angles of 90.00, 104.55 and 90.00 degrees. The asymmetric unit holds Hg at (0.2105, 0.1227, 0.3833), Te at (0.2630, 0.6204, 0.3635) and Pd at (0.4954, 0.6283, 0.7472).

The calculation puts the total magnetic moment at 0.0 Bohr magnetons per cell. The calculation puts the calculated total energy at -3.090 eV/atom. Its formation energy without anion corrections is -0.211 eV per atom. The energy above the most stable polymorph in this dataset comes out at 0.013 eV per atom.



This record from the Alexandria database describes a relaxed structure of HgTe2Pd9. The functional is PBE-GGA.

The space group is P4/mmm (No. 123) and the conventional cell measures 4.0960, 4.0960 and 12.1003 Å, with angles of 90.00, 90.00 and 90.00 degrees. The asymmetric unit holds Hg at (0.0000, 0.0000, 0.0000), Te at (0.0000, 0.0000, 0.3242), Pd at (0.0000, 0.5000, 0.1691), Pd at (0.0000, 0.5000, 0.5000), Pd at (0.5000, 0.5000, 0.0000) and Pd at (0.5000, 0.5000, 0.3395).

The calculation puts the total magnetic moment at 0.0 Bohr magnetons per cell. The calculation puts the calculated total energy at -4.630 eV/atom. Its formation energy without anion corrections is -0.186 eV per atom.



This record from the Alexandria database describes a relaxed structure of HgTePd5. The functional is PBE-GGA.

The space group is C2/c (No. 15) and the conventional cell measures 9.2567, 6.0653 and 9.6035 Å, with angles of 90.00, 107.69 and 90.00 degrees. The asymmetric unit holds Hg at (0.2500, 0.2500, 0.0000), Te at (0.0000, 0.1319, 0.2500), Pd at (0.0000, 0.3042, 0.7500), Pd at (0.1049, 0.3411, 0.4960) and Pd at (0.2355, 0.4192, 0.2635).

The calculation puts the total magnetic moment at 0.0 Bohr magnetons per cell. The calculation puts the calculated total energy at -4.353 eV/atom. Its formation energy without anion corrections is -0.152 eV per atom.



This record from the Alexandria database describes a relaxed structure of HgTe2Pd. The functional is PBE-GGA.

The space group is R-3m (No. 166, hexagonal axes) and the conventional cell measures 4.0650, 4.0650 and 27.6658 Å, with angles of 90.00, 90.00 and 120.00 degrees. The asymmetric unit holds Hg at (0.0000, 0.0000, 0.0000), Te at (0.0000, 0.0000, 0.1173) and Pd at (0.0000, 0.0000, 0.5000).

The calculation puts the total magnetic moment at 0.0 Bohr magnetons per cell. The calculation puts the calculated total energy at -3.126 eV/atom. Its formation energy without anion corrections is -0.181 eV per atom. The energy above the most stable polymorph in this dataset comes out at 0.019 eV per atom.



This record from the Alexandria database describes a relaxed structure of HgTePd3. The functional is PBE-GGA.

The space group is Pm-3m (No. 221) and the conventional cell measures 4.9808, 4.9808 and 4.9808 Å, with angles of 90.00, 90.00 and 90.00 degrees. The asymmetric unit holds Hg at (0.0000, 0.0000, 0.0000), Te at (0.5000, 0.5000, 0.5000) and Pd at (0.0000, 0.5000, 0.5000).

The calculation puts the total magnetic moment at 0.0 Bohr magnetons per cell. The calculation puts the calculated total energy at -3.509 eV/atom. Its formation energy without anion corrections is 0.296 eV per atom. The energy above the most stable polymorph in this dataset comes out at 0.517 eV per atom.



This record from the Alexandria database describes a relaxed structure of HgTe2Pd2. The functional is PBE-GGA.

The space group is P4/mmm (No. 123) and the conventional cell measures 4.9747, 4.9747 and 6.0619 Å, with angles of 90.00, 90.00 and 90.00 degrees. The asymmetric unit holds Hg at (0.0000, 0.0000, 0.0000), Te at (0.5000, 0.5000, 0.0000), Te at (0.5000, 0.5000, 0.5000) and Pd at (0.0000, 0.5000, 0.5000).

The calculation puts the total magnetic moment at 0.0 Bohr magnetons per cell. The calculation puts the calculated total energy at -3.008 eV/atom. Its formation energy without anion corrections is 0.386 eV per atom. The energy above the most stable polymorph in this dataset comes out at 0.637 eV per atom.



This record from the Alexandria database describes a relaxed structure of Hg2TePd6. The functional is PBE-GGA.

The space group is P-62m (No. 189) and the conventional cell measures 7.7053, 7.7053 and 3.0994 Å, with angles of 90.00, 90.00 and 120.00 degrees. The asymmetric unit holds Hg at (0.3333, 0.6667, 0.0000), Te at (0.0000, 0.0000, 0.5000), Pd at (0.0000, 0.3669, 0.5000) and Pd at (0.0000, 0.7099, 0.0000).

The calculation puts the total magnetic moment at 0.0 Bohr magnetons per cell. The calculation puts the calculated total energy at -4.024 eV/atom. Its formation energy without anion corrections is -0.146 eV per atom.